No. 1
Below is a relaxed Ca5Cu6O12 crystal, with properties calculated at the GGA-PBEsol level. Values from VASP.

```
&SYSTEM
  ibrav = 0, nat = 46, ntyp = 3
/
ATOMIC_SPECIES
Ca 40.08 Ca.upf
Cu 63.55 Cu.upf
O 16.00 O.upf
CELL_PARAMETERS angstrom
5.383 0.000 0.000
0.000 6.346 0.000
-4.215 0.000 16.254
ATOMIC_POSITIONS crystal
Ca 0.000 0.240 0.250
Ca 0.000 0.760 0.750
Ca 0.006 0.249 0.452
Ca 0.006 0.751 0.952
Ca 0.011 0.257 0.855
Ca 0.011 0.743 0.355
Ca 0.989 0.257 0.645
Ca 0.989 0.743 0.145
Ca 0.994 0.249 0.048
Ca 0.994 0.751 0.548
Cu 0.493 0.486 0.082
Cu 0.493 0.514 0.582
Cu 0.494 0.018 0.666
Cu 0.494 0.982 0.166
Cu 0.500 0.000 0.000
Cu 0.500 0.000 0.500
Cu 0.500 0.482 0.250
Cu 0.500 0.518 0.750
Cu 0.506 0.018 0.834
Cu 0.506 0.982 0.334
Cu 0.507 0.486 0.418
Cu 0.507 0.514 0.918
O 0.248 0.059 0.565
O 0.248 0.941 0.065
O 0.251 0.449 0.151
O 0.251 0.551 0.651
O 0.253 0.441 0.977
O 0.253 0.559 0.477
O 0.261 0.033 0.733
O 0.261 0.967 0.233
O 0.263 0.040 0.394
O 0.263 0.960 0.894
O 0.267 0.498 0.813
O 0.267 0.502 0.313
O 0.733 0.498 0.687
O 0.733 0.502 0.187
O 0.737 0.040 0.106
O 0.737 0.960 0.606
O 0.739 0.033 0.767
O 0.739 0.967 0.267
O 0.747 0.441 0.523
O 0.747 0.559 0.023
O 0.749 0.449 0.349
O 0.749 0.551 0.849
O 0.752 0.059 0.935
O 0.752 0.941 0.435
```

Space-group type   No. 13
Uncorrected formation energy   -37.6 eV per formula unit
Mass density   4.63 Mg/m³

=====

No. 2
Below is a relaxed Ta2Te2O9 crystal, with properties calculated at the GGA-PBEsol level. Values from VASP.

```
&SYSTEM
  ibrav = 0, nat = 52, ntyp = 3
/
ATOMIC_SPECIES
Ta 180.95 Ta.upf
Te 127.60 Te.upf
O 16.00 O.upf
CELL_PARAMETERS angstrom
7.045 0.000 0.000
0.000 7.580 0.000
-3.131 0.000 14.488
ATOMIC_POSITIONS crystal
Ta 0.057 0.199 0.432
Ta 0.057 0.301 0.932
Ta 0.365 0.005 0.098
Ta 0.365 0.495 0.598
Ta 0.635 0.505 0.402
Ta 0.635 0.995 0.902
Ta 0.943 0.699 0.068
Ta 0.943 0.801 0.568
Te 0.123 0.635 0.314
Te 0.123 0.865 0.814
Te 0.463 0.071 0.326
Te 0.463 0.429 0.826
Te 0.537 0.571 0.174
Te 0.537 0.929 0.674
Te 0.877 0.135 0.186
Te 0.877 0.365 0.686
O 0.000 0.000 0.500
O 0.000 0.500 0.000
O 0.096 0.588 0.187
O 0.096 0.912 0.687
O 0.113 0.100 0.852
O 0.113 0.400 0.352
O 0.179 0.675 0.554
O 0.179 0.825 0.054
O 0.203 0.195 0.043
O 0.203 0.305 0.543
O 0.263 0.058 0.217
O 0.263 0.442 0.717
O 0.291 0.070 0.408
O 0.291 0.430 0.908
O 0.401 0.657 0.331
O 0.401 0.843 0.831
O 0.480 0.183 0.823
O 0.480 0.317 0.323
O 0.500 0.000 0.000
O 0.500 0.500 0.500
O 0.520 0.683 0.677
O 0.520 0.817 0.177
O 0.599 0.157 0.169
O 0.599 0.343 0.669
O 0.709 0.570 0.092
O 0.709 0.930 0.592
O 0.737 0.558 0.283
O 0.737 0.942 0.783
O 0.797 0.695 0.457
O 0.797 0.805 0.957
O 0.821 0.175 0.946
O 0.821 0.325 0.446
O 0.887 0.600 0.648
O 0.887 0.900 0.148
O 0.904 0.088 0.313
O 0.904 0.412 0.813
```

Space-group type   No. 14
Uncorrected formation energy   -26.1 eV per formula unit
Mass density   6.53 Mg/m³

=====

No. 3
Below is a relaxed PrBPt3 crystal, with properties calculated at the GGA-PBEsol level. Values from VASP.

```
&SYSTEM
  ibrav = 0, nat = 5, ntyp = 3
/
ATOMIC_SPECIES
Pr 140.91 Pr.upf
B 10.81 B.upf
Pt 195.08 Pt.upf
CELL_PARAMETERS angstrom
4.003 0.000 0.000
0.000 4.003 0.000
0.000 0.000 5.052
ATOMIC_POSITIONS crystal
Pr 0.000 0.000 0.000
B 0.500 0.500 0.706
Pt 0.000 0.500 0.517
Pt 0.500 0.000 0.517
Pt 0.500 0.500 0.121
```

Space-group type   No. 99
Calculated formation energy   -860.2 meV per atom
Mass density   15.12 Mg/m³

=====

No. 4
Below is a relaxed Y2ZnBi crystal, with properties calculated at the GGA-PBEsol level. Values from VASP.

```
&SYSTEM
  ibrav = 0, nat = 4, ntyp = 3
/
ATOMIC_SPECIES
Y 88.91 Y.upf
Zn 65.41 Zn.upf
Bi 208.98 Bi.upf
CELL_PARAMETERS angstrom
0.000 3.683 3.683
3.683 0.000 3.683
3.683 3.683 0.000
ATOMIC_POSITIONS crystal
Y 0.250 0.250 0.250
Y 0.750 0.750 0.750
Zn 0.000 0.000 0.000
Bi 0.500 0.500 0.500
```

Space-group type   No. 225
Calculated formation energy   -450.1 meV per atom
Mass density   7.52 Mg/m³

=====

No. 5
Below is a relaxed PbWF2 crystal, with properties calculated at the GGA-PBEsol level. Values from VASP.

```
&SYSTEM
  ibrav = 0, nat = 4, ntyp = 3
/
ATOMIC_SPECIES
Pb 207.20 Pb.upf
W 183.84 W.upf
F 19.00 F.upf
CELL_PARAMETERS angstrom
0.000 3.085 3.085
3.085 0.000 3.085
3.085 3.085 0.000
ATOMIC_POSITIONS crystal
Pb 0.000 0.000 0.000
W 0.500 0.500 0.500
F 0.250 0.250 0.250
F 0.750 0.750 0.750
```

Space-group type   No. 225
Uncorrected formation energy   0.5 eV per formula unit
Mass density   12.13 Mg/m³

=====

No. 6
Below is a relaxed Na2MgVF7 crystal, with properties calculated at the GGA-PBEsol level. Values from VASP.

```
&SYSTEM
  ibrav = 0, nat = 22, ntyp = 4
/
ATOMIC_SPECIES
Na 22.99 Na.upf
Mg 24.30 Mg.upf
V 50.94 V.upf
F 19.00 F.upf
CELL_PARAMETERS angstrom
-3.607 5.127 3.702
3.607 -5.127 3.702
3.607 5.127 -3.702
ATOMIC_POSITIONS crystal
Na 0.000 0.000 0.000
Na 0.500 0.000 0.000
Na 0.500 0.000 0.500
Na 0.500 0.500 0.500
Mg 0.000 0.000 0.500
Mg 0.000 0.500 0.000
V 0.000 0.500 0.500
V 0.500 0.500 0.000
F 0.053 0.236 0.415
F 0.053 0.637 0.817
F 0.093 0.843 0.250
F 0.321 0.236 0.683
F 0.321 0.637 0.085
F 0.322 0.729 0.593
F 0.364 0.271 0.093
F 0.636 0.729 0.907
F 0.678 0.271 0.407
F 0.679 0.363 0.915
F 0.679 0.764 0.317
F 0.907 0.157 0.750
F 0.947 0.363 0.183
F 0.947 0.764 0.585
```

Space-group type   No. 74
Uncorrected formation energy   -33.3 eV per formula unit
Mass density   3.08 Mg/m³

=====

No. 7
Below is a relaxed SrInCo crystal, with properties calculated at the GGA-PBEsol level. Values from VASP.

```
&SYSTEM
  ibrav = 0, nat = 3, ntyp = 3
/
ATOMIC_SPECIES
Sr 87.62 Sr.upf
In 114.82 In.upf
Co 58.93 Co.upf
CELL_PARAMETERS angstrom
-1.728 1.728 5.626
1.728 -1.728 5.626
1.728 1.728 -5.626
ATOMIC_POSITIONS crystal
Sr 0.000 0.000 0.000
In 0.719 0.719 0.000
Co 0.306 0.306 0.000
```

Space-group type   No. 107
Calculated formation energy   137.2 meV per atom
Mass density   6.46 Mg/m³

=====

No. 8
Below is a relaxed AlZnTc2Bi crystal, with properties calculated at the GGA-PBEsol level. Values from VASP.

```
&SYSTEM
  ibrav = 0, nat = 5, ntyp = 4
/
ATOMIC_SPECIES
Al 26.98 Al.upf
Zn 65.41 Zn.upf
Tc 98.00 Tc.upf
Bi 208.98 Bi.upf
CELL_PARAMETERS angstrom
5.003 0.000 0.000
0.000 5.003 0.000
0.000 0.000 4.857
ATOMIC_POSITIONS crystal
Al 0.000 0.000 0.000
Zn 0.500 0.500 0.000
Tc 0.000 0.500 0.500
Tc 0.500 0.000 0.500
Bi 0.500 0.500 0.500
```

Space-group type   No. 123
Calculated formation energy   2008.7 meV per atom
Mass density   6.79 Mg/m³

=====

No. 9
Below is a relaxed SiRh2 crystal, with properties calculated at the GGA-PBEsol level. Values from VASP.

```
&SYSTEM
  ibrav = 0, nat = 3, ntyp = 2
/
ATOMIC_SPECIES
Si 28.09 Si.upf
Rh 102.91 Rh.upf
CELL_PARAMETERS angstrom
3.935 0.000 0.000
0.000 3.935 0.000
0.000 0.000 2.798
ATOMIC_POSITIONS crystal
Si 0.000 0.000 0.000
Rh 0.000 0.500 0.500
Rh 0.500 0.000 0.500
```

Space-group type   No. 123
Uncorrected formation energy   -1.2 eV per formula unit
Mass density   8.96 Mg/m³

=====

No. 10
Below is a relaxed Cd2InTe crystal, with properties calculated at the GGA-PBEsol level. Values from VASP.

```
&SYSTEM
  ibrav = 0, nat = 4, ntyp = 3
/
ATOMIC_SPECIES
Cd 112.41 Cd.upf
In 114.82 In.upf
Te 127.60 Te.upf
CELL_PARAMETERS angstrom
3.450 0.000 0.000
0.000 3.450 0.000
0.000 0.000 8.316
ATOMIC_POSITIONS crystal
Cd 0.000 0.000 0.244
Cd 0.000 0.000 0.756
In 0.500 0.500 0.000
Te 0.500 0.500 0.500
```

Space-group type   No. 123
Energy above the most stable polymorph in this dataset   52 meV per atom
Uncorrected formation energy   0.3 eV per formula unit
Mass density   7.84 Mg/m³